The following is a PBE calculation of a geometry-optimized Pr6ErCd2 structure, from Alexandria via LeMat-Bulk.

extended XYZ file:
```
18
Lattice="-2.8384 -3.5901 3.9397 8.1268 -5.1222 3.0449 3.5923 4.3083 8.3718" Properties=species:S:1:pos:R:3 pbc="T T T"
Pr 0.5153 0.4229 9.6344
Pr 5.4190 -5.0288 3.5713
Pr 3.4616 0.6247 11.7852
Pr 8.5590 -3.0121 9.4331
Pr 6.0237 -2.4859 12.7141
Pr 2.8570 -1.9181 2.6423
Pr 0.3216 -1.3919 5.9234
Pr 3.1359 -1.1767 7.7254
Pr 3.2839 -2.8561 10.8245
Pr 5.7447 -3.2273 7.6310
Pr 8.3653 -4.8270 5.7220
Pr 5.5967 -1.5479 4.5319
Cd 5.7531 -5.0803 10.3639
Cd 3.1275 0.6763 4.9925
Cd 2.9443 -3.6894 5.5104
Cd 5.9363 -0.7146 9.8461
Er 5.3635 -6.4953 6.7451
Er 3.5172 2.0912 8.6114
```

Output
The formation energy is -60 meV per atom.